(1)
Compound: Mg2TaRu2
Source: Alexandria via LeMat-Bulk
Functional: PBE
Structure: optimized geometry

Cell and atoms, written as POSCAR:
```
Mg2TaRu2
1.0
7.009 0.000 0.000
0.000 7.009 0.000
0.000 0.000 3.365
Mg Ta Ru
4 2 4
direct
0.145 0.355 0.000 Mg
0.355 0.855 0.000 Mg
0.645 0.145 0.000 Mg
0.855 0.645 0.000 Mg
0.000 0.000 0.500 Ta
0.500 0.500 0.500 Ta
0.155 0.655 0.500 Ru
0.345 0.155 0.500 Ru
0.655 0.845 0.500 Ru
0.845 0.345 0.500 Ru
```

Properties
Magnetization ... 0.000 μB/atom
Space-group type ... No. 127


(2)
Compound: MgTa2Ru
Source: Alexandria via LeMat-Bulk
Functional: PBE
Structure: optimized geometry

Cell and atoms, written as POSCAR:
```
MgTa2Ru
1.0
-3.786 3.786 2.715
3.786 -3.786 2.715
3.786 3.786 -2.715
Mg Ta Ru
2 4 2
direct
0.000 0.000 0.000 Mg
0.750 0.250 0.500 Mg
0.180 0.625 0.055 Ta
0.375 0.430 0.555 Ta
0.570 0.125 0.945 Ta
0.875 0.820 0.445 Ta
0.250 0.750 0.500 Ru
0.500 0.500 0.000 Ru
```

Properties
Magnetization ... 0.000 μB/atom
Space-group type ... No. 122


(3)
Compound: MgTa3Ru4
Source: Alexandria via LeMat-Bulk
Functional: PBE
Structure: optimized geometry

Cell and atoms, written as POSCAR:
```
MgTa3Ru4
1.0
3.179 0.000 0.000
0.000 4.459 0.000
0.000 0.000 8.882
Mg Ta Ru
1 3 4
direct
0.000 0.000 0.000 Mg
0.000 0.000 0.500 Ta
0.000 0.500 0.242 Ta
0.000 0.500 0.758 Ta
0.500 0.000 0.256 Ru
0.500 0.000 0.744 Ru
0.500 0.500 0.000 Ru
0.500 0.500 0.500 Ru
```

Properties
Magnetization ... 0.000 μB/atom
Space-group type ... No. 47


no.,energy relative to the elements (eV/f.u.),DOS at the Fermi energy (states/eV/atom),calculated density (g cm⁻³)
1,0.53,0.5148,8.67
2,1.81,0.9099,10.39
3,-3.20,0.4747,12.81